Record 1
Computed, not measured: an optimized crystal structure of KScH2 at the PBE-GGA level of DFT.

Geometry as extended XYZ:
```
4
Lattice="-4.0093 1.4008 1.3617 -2.8235 1.8511 -2.9141 -3.6734 -2.1986 -1.2503" Properties=species:S:1:pos:R:3 pbc="T T T"
Sc -5.2531 0.5267 -1.4013
H -2.6265 0.2633 -0.7007
H -7.8796 0.7900 -2.1020
K 0.0000 0.0000 0.0000
```

Space group: No. 225
M_tot, μB/f.u.: 1.8
Final energy, eV per atom: -2.99
Energy above the lowest structure with this stoichiometry, eV/atom: 0.599

***

Record 2
Computed, not measured: an optimized crystal structure of RbIn3F at the PBE-GGA level of DFT.

Geometry as extended XYZ:
```
5
Lattice="5.3842 0.0000 0.0000 0.0000 5.3842 0.0000 0.0000 0.0000 5.3842" Properties=species:S:1:pos:R:3 pbc="T T T"
In 2.6921 0.0000 0.0000
Rb 2.6921 2.6921 2.6921
In 0.0000 2.6921 0.0000
In 0.0000 0.0000 2.6921
F 0.0000 0.0000 0.0000
```

Space group: No. 221
M_tot, μB/f.u.: 0.0
Final energy, eV per atom: -2.71
Energy above the lowest structure with this stoichiometry, eV/atom: 0.000

***

Record 3
Computed, not measured: an optimized crystal structure of NiAgAs2 at the PBE-GGA level of DFT.

Geometry as extended XYZ:
```
4
Lattice="5.1153 -0.0005 0.0000 2.1317 4.6500 0.0000 -3.6235 -2.3247 2.7627" Properties=species:S:1:pos:R:3 pbc="T T T"
Ni 3.6235 2.3247 0.0000
As 0.0000 0.0000 0.0000
Ag 2.5577 -0.0003 1.3813
As 1.0659 2.3250 1.3813
```

ΔH_f (0 K), eV per atom: 0.2502
Space group: No. 119
M_tot, μB/f.u.: 0.0
Final energy, eV per atom: -4.23
Energy above the lowest structure with this stoichiometry, eV/atom: 0.249

***

Record 4
Computed, not measured: an optimized crystal structure of Ca2ScTc at the PBE-GGA level of DFT.

Geometry as extended XYZ:
```
4
Lattice="3.2089 -2.7874 2.9280 -1.4291 -4.6702 1.6694 2.2411 -4.2287 -1.9327" Properties=species:S:1:pos:R:3 pbc="T T T"
Tc 2.0105 -5.8432 1.3324
Sc 0.0000 0.0000 0.0000
Ca 1.0052 -2.9216 0.6662
Ca 3.0157 -8.7648 1.9985
```

ΔH_f (0 K), eV per atom: 0.6100
Space group: No. 225
M_tot, μB/f.u.: 0.0
Final energy, eV per atom: -4.57
Energy above the lowest structure with this stoichiometry, eV/atom: 0.484

***

Record 5
Computed, not measured: an optimized crystal structure of Ca3ZnSn2 at the PBE-GGA level of DFT.

Geometry as extended XYZ:
```
24
Lattice="4.5469 0.0000 0.0000 0.0000 12.3144 0.0000 0.0000 0.0000 12.5440" Properties=species:S:1:pos:R:3 pbc="T T T"
Zn 3.4102 10.7246 10.9327
Sn 1.1367 6.1238 10.1257
Ca 1.1367 4.6729 0.6593
Ca 3.4102 11.5730 1.5627
Ca 3.4102 2.4512 3.5938
Sn 1.1367 8.4563 6.0132
Zn 1.1367 4.5674 7.8833
Sn 3.4102 3.8581 6.5307
Zn 3.4102 7.7470 4.6607
Ca 3.4102 10.8301 5.6127
Ca 1.1367 0.7414 10.9813
Ca 1.1367 9.8632 8.9502
Sn 3.4102 12.2810 8.6903
Sn 1.1367 10.0153 12.2852
Sn 3.4102 6.1906 2.4183
Ca 1.1367 8.6084 2.6782
Ca 1.1367 1.4843 6.9313
Ca 1.1367 5.4158 4.7093
Zn 1.1367 1.5898 1.6113
Sn 1.1367 0.0334 3.8537
Ca 3.4102 3.7060 9.8658
Ca 3.4102 6.8986 7.8346
Sn 3.4102 2.2991 0.2587
Ca 3.4102 7.6415 11.8847
```

ΔH_f (0 K), eV per atom: -0.5592
Space group: No. 62
M_tot, μB/f.u.: 0.0
Final energy, eV per atom: -3.11
Energy above the lowest structure with this stoichiometry, eV/atom: 0.000

***

Record 6
Computed, not measured: an optimized crystal structure of K2PmU3O12 at the PBE-GGA level of DFT.

Geometry as extended XYZ:
```
18
Lattice="7.9820 -0.0756 -0.0536 3.8762 6.9781 -0.0536 3.8762 2.2563 6.6035" Properties=species:S:1:pos:R:3 pbc="T T T"
K 10.6692 6.2104 4.4050
U 3.9910 -0.0378 -0.0268
O 5.7922 0.6279 0.4454
U 1.9381 3.4890 -0.0268
O 3.4065 4.7265 0.4454
O 7.2679 4.2305 6.2043
O 9.8970 2.7374 1.9416
O 5.8375 6.4214 4.5546
Pm 0.0000 0.0000 0.0000
O 12.3280 7.1759 2.1827
K 5.0652 2.9484 2.0913
O 9.9423 8.5309 6.0509
O 8.4666 1.9047 4.5546
O 3.4065 1.9828 4.3135
O 7.2679 7.2540 1.9416
O 12.3280 4.4323 6.0509
O 8.4666 4.9282 0.2919
U 1.9381 1.1281 3.3017
```

Space group: No. 166
M_tot, μB/f.u.: 0.0
Final energy, eV per atom: -8.43

***

Record 7
Computed, not measured: an optimized crystal structure of Fe2BiB2 at the PBE-GGA level of DFT.

Geometry as extended XYZ:
```
5
Lattice="-0.4112 2.6011 2.6491 -3.4169 -1.3076 0.7535 -0.0177 -2.4096 4.9966" Properties=species:S:1:pos:R:3 pbc="T T T"
Fe -1.1715 0.4191 4.6735
B -2.6400 -0.6214 5.4673
B -1.2059 -0.4946 2.9319
Bi 0.0000 0.0000 0.0000
Fe -2.6743 -1.5352 3.7257
```

ΔH_f (0 K), eV per atom: 0.2157
Space group: No. 139
M_tot, μB/f.u.: 1.1
Final energy, eV per atom: -6.62
Energy above the lowest structure with this stoichiometry, eV/atom: 0.000

***

Record 8
Computed, not measured: an optimized crystal structure of EuDyPd2 at the PBE-GGA level of DFT.

Geometry as extended XYZ:
```
4
Lattice="3.5474 0.0000 0.0000 0.0000 3.5474 0.0000 0.0000 0.0000 7.2435" Properties=species:S:1:pos:R:3 pbc="T T T"
Pd 0.0000 0.0000 5.6494
Eu 1.7737 1.7737 3.6218
Pd 0.0000 0.0000 1.5941
Dy 1.7737 1.7737 0.0000
```

ΔH_f (0 K), eV per atom: -0.8031
Space group: No. 123
M_tot, μB/f.u.: 7.1
Final energy, eV per atom: -7.12
Energy above the lowest structure with this stoichiometry, eV/atom: 0.000

***

| no. | density of states at the Fermi level (states/eV/atom) |
| --- | --- |
| 1 | 1.180 |
| 2 | 0.552 |
| 3 | 0.380 |
| 4 | 0.884 |
| 5 | 0.331 |
| 6 | 0.938 |
| 7 | 0.667 |
| 8 | 2.591 |